# 1
Below is a relaxed PmSmHoGa crystal, with properties calculated at the PBE level.

Properties
Its formation energy is -0.046 eV per atom. The calculation puts the total magnetic moment at 1.274 μB/f.u. The raw total energy comes out at -0.317 Ry per atom.

Geometry as POSCAR:
```
PmSmHoGa
1.0
7.615 0.000 0.000
0.000 7.615 0.000
0.000 0.000 7.615
Pm Sm Ho Ga
4 4 4 4
direct
0.000 0.000 0.000
0.000 0.500 0.500
0.500 0.000 0.500
0.500 0.500 0.000
0.250 0.250 0.250
0.250 0.750 0.750
0.750 0.250 0.750
0.750 0.750 0.250
0.250 0.250 0.750
0.250 0.750 0.250
0.750 0.250 0.250
0.750 0.750 0.750
0.000 0.000 0.500
0.000 0.500 0.000
0.500 0.000 0.000
0.500 0.500 0.500
```



# 2
Below is a relaxed TbPmHoGa crystal, with properties calculated at the PBE level.

Properties
Its formation energy is -0.040 eV per atom. The calculation puts the total magnetic moment at 1.310 μB/f.u. The raw total energy comes out at -0.315 Ry per atom.

Geometry as POSCAR:
```
TbPmHoGa
1.0
7.570 0.000 0.000
0.000 7.570 0.000
0.000 0.000 7.570
Tb Pm Ho Ga
4 4 4 4
direct
0.000 0.000 0.000
0.000 0.500 0.500
0.500 0.000 0.500
0.500 0.500 0.000
0.250 0.250 0.250
0.250 0.750 0.750
0.750 0.250 0.750
0.750 0.750 0.250
0.000 0.000 0.500
0.000 0.500 0.000
0.500 0.000 0.000
0.500 0.500 0.500
0.250 0.250 0.750
0.250 0.750 0.250
0.750 0.250 0.250
0.750 0.750 0.750
```



# 3
Below is a relaxed PmHoGaTc crystal, with properties calculated at the PBE level.

Properties
Its formation energy is -0.174 eV per atom. The calculation puts the total magnetic moment at 0.000 μB/f.u. The raw total energy comes out at -0.430 Ry per atom.

Geometry as POSCAR:
```
PmHoGaTc
1.0
7.079 0.000 0.000
0.000 7.079 0.000
0.000 0.000 7.079
Pm Ho Ga Tc
4 4 4 4
direct
0.000 0.000 0.000
0.000 0.500 0.500
0.500 0.000 0.500
0.500 0.500 0.000
0.000 0.000 0.500
0.000 0.500 0.000
0.500 0.000 0.000
0.500 0.500 0.500
0.250 0.250 0.750
0.250 0.750 0.250
0.750 0.250 0.250
0.750 0.750 0.750
0.250 0.250 0.250
0.250 0.750 0.750
0.750 0.250 0.750
0.750 0.750 0.250
```



# 4
Below is a relaxed PmHoTmGa crystal, with properties calculated at the PBE level.

Properties
Its formation energy is -0.098 eV per atom. The calculation puts the total magnetic moment at 0.495 μB/f.u. The raw total energy comes out at -0.316 Ry per atom.

Geometry as POSCAR:
```
PmHoTmGa
1.0
7.541 0.000 0.000
0.000 7.541 0.000
0.000 0.000 7.541
Pm Ho Tm Ga
4 4 4 4
direct
0.000 0.000 0.000
0.000 0.500 0.500
0.500 0.000 0.500
0.500 0.500 0.000
0.000 0.000 0.500
0.000 0.500 0.000
0.500 0.000 0.000
0.500 0.500 0.500
0.250 0.250 0.750
0.250 0.750 0.250
0.750 0.250 0.250
0.750 0.750 0.750
0.250 0.250 0.250
0.250 0.750 0.750
0.750 0.250 0.750
0.750 0.750 0.250
```



# 5
Below is a relaxed PmHoZn2Ga2 crystal, with properties calculated at the PBE level.

Properties
Its formation energy is -0.567 eV per atom. The calculation puts the total magnetic moment at 0.000 μB/f.u. The raw total energy comes out at -0.261 Ry per atom.

Geometry as POSCAR:
```
PmHoZn2Ga2
1.0
4.438 0.000 0.000
-2.219 3.844 0.000
0.000 0.000 7.333
Pm Ho Zn Ga
1 1 2 2
direct
0.000 0.000 0.000
0.000 0.000 0.500
0.333 0.667 0.271
0.667 0.333 0.729
0.333 0.667 0.737
0.667 0.333 0.263
```



# 6
Below is a relaxed Pm2HoZn2Ga2 crystal, with properties calculated at the PBE level.

Properties
Its formation energy is -0.406 eV per atom. The calculation puts the total magnetic moment at 0.000 μB/f.u. The raw total energy comes out at -0.268 Ry per atom.

Geometry as POSCAR:
```
Pm2HoZn2Ga2
1.0
2.224 1.284 9.466
-2.224 1.284 9.466
0.000 -2.568 9.466
Pm Ho Zn Ga
2 1 2 2
direct
0.125 0.125 0.125
0.875 0.875 0.875
0.000 0.000 0.000
0.392 0.392 0.392
0.608 0.608 0.608
0.269 0.269 0.269
0.731 0.731 0.731
```



Question: The highest total magnetic moment belongs to which entry?
Answer: TbPmHoGa